Entry 1:
The following is a DFT calculation (PBE) of crystalline SrTaTe2 at its relaxed geometry.

Cell: 5.327 5.327 3.652 Å, 90.00 90.00 90.00°
Sites, in units of the cell vectors:
Sr  0.000  0.000  0.000
Ta  0.500  0.500  0.000
Te  0.000  0.500  0.500
Te  0.500  0.000  0.500

**Volume**: 104 Å³/cell
**DOS(E_F)**: 0.76 states/eV per atom
**Formation energy (no corrections)**: -0.163 eV per atom
**DFT total energy**: -5.12 eV/atom
**Total magnetization**: 1.2 Bohr magnetons per cell

Entry 2:
The following is a DFT calculation (PBE) of crystalline Rb4ZnCl6 at its relaxed geometry.

Cell: 8.922 8.922 15.435 Å, 110.49 110.49 54.48°
Sites, in units of the cell vectors:
Rb  0.057  0.481  0.830
Rb  0.142  0.858  0.500
Rb  0.274  0.592  0.178
Rb  0.481  0.057  0.330
Rb  0.494  0.802  0.977
Rb  0.592  0.274  0.678
Rb  0.802  0.494  0.477
Rb  0.858  0.142  0.000
Zn  0.472  0.952  0.733
Zn  0.952  0.472  0.233
Cl  0.099  0.488  0.390
Cl  0.188  0.254  0.146
Cl  0.202  0.725  0.996
Cl  0.254  0.188  0.646
Cl  0.371  0.756  0.711
Cl  0.399  0.797  0.378
Cl  0.488  0.099  0.890
Cl  0.725  0.202  0.496
Cl  0.755  0.809  0.691
Cl  0.756  0.371  0.211
Cl  0.797  0.399  0.878
Cl  0.809  0.755  0.191

**Volume**: 919 Å³/cell
**DOS(E_F)**: 0.00 states/eV per atom
**Formation energy (no corrections)**: -1.726 eV per atom
**DFT total energy**: -3.20 eV/atom
**Total magnetization**: 0.6 Bohr magnetons per cell

Entry 3:
The following is a DFT calculation (PBE) of crystalline Pb5Cl at its relaxed geometry.

Cell: 11.743 3.553 9.441 Å, 90.00 111.63 90.00°
Sites, in units of the cell vectors:
Pb  0.000  0.000  0.000
Pb  0.038  0.000  0.491
Pb  0.173  0.500  0.820
Pb  0.212  0.500  0.314
Pb  0.356  0.000  0.657
Pb  0.500  0.500  0.000
Pb  0.538  0.500  0.491
Pb  0.673  0.000  0.820
Pb  0.712  0.000  0.314
Pb  0.856  0.500  0.657
Cl  0.355  0.000  0.154
Cl  0.855  0.500  0.154

**Volume**: 366 Å³/cell
**DOS(E_F)**: 0.54 states/eV per atom
**Formation energy (no corrections)**: -0.157 eV per atom
**DFT total energy**: -3.56 eV/atom
**Total magnetization**: 0.0 Bohr magnetons per cell

Entry 4:
The following is a DFT calculation (PBE) of crystalline BiTe2Rh at its relaxed geometry.

Cell: 3.199 3.199 37.824 Å, 90.00 90.00 120.00°
Sites, in units of the cell vectors:
Bi  0.000  0.000  0.000
Bi  0.333  0.667  0.667
Bi  0.667  0.333  0.333
Te  0.000  0.000  0.433
Te  0.000  0.000  0.567
Te  0.333  0.667  0.099
Te  0.333  0.667  0.234
Te  0.667  0.333  0.766
Te  0.667  0.333  0.901
Rh  0.000  0.000  0.500
Rh  0.333  0.667  0.167
Rh  0.667  0.333  0.833

**Volume**: 335 Å³/cell
**DOS(E_F)**: 1.10 states/eV per atom
**Formation energy (no corrections)**: 0.353 eV per atom
**DFT total energy**: -4.03 eV/atom
**Total magnetization**: 0.0 Bohr magnetons per cell

Entry 5:
The following is a DFT calculation (PBE) of crystalline Cs2Tl5Ag4 at its relaxed geometry.

Cell: 8.256 8.256 9.698 Å, 125.94 125.94 47.98°
Sites, in units of the cell vectors:
Cs  0.221  0.221  0.152
Cs  0.779  0.779  0.848
Tl  0.210  0.709  0.665
Tl  0.291  0.790  0.335
Tl  0.500  0.500  0.000
Tl  0.709  0.210  0.665
Tl  0.790  0.291  0.335
Ag  0.122  0.122  0.670
Ag  0.268  0.268  0.589
Ag  0.732  0.732  0.411
Ag  0.878  0.878  0.330

**Volume**: 376 Å³/cell
**DOS(E_F)**: 0.61 states/eV per atom
**ΔH_f (0 K)**: 7 kJ/mol of atoms
**DFT total energy**: -2.19 eV/atom
**Total magnetization**: 0.0 Bohr magnetons per cell

Entry 6:
The following is a DFT calculation (PBE) of crystalline CaIrCl at its relaxed geometry.

Cell: 4.212 4.212 7.940 Å, 90.00 90.00 120.00°
Sites, in units of the cell vectors:
Ca  0.000  0.000  0.000
Ca  0.000  0.000  0.500
Ir  0.333  0.667  0.250
Ir  0.667  0.333  0.750
Cl  0.333  0.667  0.750
Cl  0.667  0.333  0.250

**Volume**: 122 Å³/cell
**DOS(E_F)**: 0.43 states/eV per atom
**Formation energy (no corrections)**: -0.193 eV per atom
**DFT total energy**: -4.43 eV/atom
**Total magnetization**: 0.0 Bohr magnetons per cell

Entry 7:
The following is a DFT calculation (PBE) of crystalline AlCu3 at its relaxed geometry.

Cell: 2.613 4.111 4.781 Å, 90.00 99.61 90.00°
Sites, in units of the cell vectors:
Al  0.000  0.000  0.000
Cu  0.254  0.500  0.749
Cu  0.500  0.000  0.500
Cu  0.746  0.500  0.251

**Volume**: 51 Å³/cell
**DOS(E_F)**: 0.21 states/eV per atom
**ΔH_f (0 K)**: -11 kJ/mol of atoms
**DFT total energy**: -4.12 eV/atom
**Total magnetization**: 0.0 Bohr magnetons per cell

Entry 8:
The following is a DFT calculation (PBE) of crystalline SBr2O at its relaxed geometry.

Cell: 6.506 6.506 6.506 Å, 90.00 90.00 90.00°
Sites, in units of the cell vectors:
S  0.000  0.000  0.000
S  0.000  0.500  0.500
S  0.500  0.000  0.500
S  0.500  0.500  0.000
Br  0.250  0.250  0.250
Br  0.250  0.250  0.750
Br  0.250  0.750  0.250
Br  0.250  0.750  0.750
Br  0.750  0.250  0.250
Br  0.750  0.250  0.750
Br  0.750  0.750  0.250
Br  0.750  0.750  0.750
O  0.000  0.000  0.500
O  0.000  0.500  0.000
O  0.500  0.000  0.000
O  0.500  0.500  0.500

**Volume**: 275 Å³/cell
**DOS(E_F)**: 1.48 states/eV per atom
**Formation energy (no corrections)**: 1.228 eV per atom
**DFT total energy**: -1.88 eV/atom
**Total magnetization**: 0.0 Bohr magnetons per cell